KSmVF6: relaxed, PBE with a Hubbard U.

Summary:
For the total energy, the calculation gives -6.00 eV per atom.

a b c (Å): 8.380 7.928 8.095
angles (deg): 119.32 121.17 90.00
Sites, in units of the cell vectors:
K1 0.768 0.518 0.536
K2 0.232 0.482 0.464
Sm1 0.500 0.000 0.500
Sm2 0.000 0.000 0.500
V1 0.500 0.500 0.000
V2 0.500 0.000 0.000
F1 0.453 0.703 0.906
F2 0.829 0.079 0.658
F3 0.810 0.104 0.272
F4 0.463 0.668 0.272
F5 0.463 0.104 0.272
F6 0.810 0.668 0.272
F7 0.547 0.297 0.094
F8 0.171 0.921 0.342
F9 0.190 0.896 0.728
F10 0.537 0.332 0.728
F11 0.537 0.896 0.728
F12 0.190 0.332 0.728